The following is a PBE calculation of a relaxed K5Pb3I12 crystal, from the Alexandria database.

Calculated values
Fermi-level density of states, states/eV/f.u.: 25.9
E_form (uncorrected), eV/atom: -0.827
Uncorrected energy, eV for the cell shown: -207.039
Volume, Å³ per cell: 3995.35

Cell: 17.3138 17.3138 17.3138 Å, 109.47 109.47 109.47°
With the nearest neighbours (Å) after each atom.
Sites, in units of the cell vectors:
I 0.5644 0.2376 0.1258  1 Pb 3.31, 2 K 3.35-3.50
I 0.6258 0.0644 0.2376  1 Pb 3.31, 2 K 3.35-3.50
I 0.3742 0.9356 0.7624  1 Pb 3.31, 2 K 3.35-3.50
K 0.1250 0.7500 0.3750  4 I 3.35
I 0.1732 0.0614 0.9356  1 Pb 3.31, 2 K 3.35-3.50
I 0.4386 0.3742 0.6118  1 Pb 3.31, 2 K 3.35-3.50
I 0.7624 0.4356 0.3742  1 Pb 3.31, 2 K 3.35-3.50
K 0.0000 0.5000 0.5000  6 I 3.50
I 0.8742 0.2624 0.4356  1 Pb 3.31, 2 K 3.35-3.50
I 0.4386 0.0644 0.3268  1 Pb 3.31, 2 K 3.35-3.50
I 0.7624 0.3268 0.8882  1 Pb 3.31, 2 K 3.35-3.50
I 0.2624 0.3882 0.8268  1 Pb 3.31, 2 K 3.35-3.50
I 0.2376 0.5644 0.6258  1 Pb 3.31, 2 K 3.35-3.50
K 0.0000 0.0000 0.0000  6 I 3.50
Pb 0.6250 0.3750 0.7500  4 I 3.31
K 0.7500 0.1250 0.8750  4 I 3.35
I 0.7376 0.1258 0.0644  1 Pb 3.31, 2 K 3.35-3.50
K 0.3750 0.1250 0.7500  4 I 3.35
I 0.3882 0.2624 0.3268  1 Pb 3.31, 2 K 3.35-3.50
I 0.0644 0.4386 0.8268  1 Pb 3.31, 2 K 3.35-3.50
I 0.3268 0.5644 0.4386  1 Pb 3.31, 2 K 3.35-3.50
I 0.0644 0.6258 0.7376  1 Pb 3.31, 2 K 3.35-3.50
K 0.8750 0.6250 0.7500  4 I 3.35
K 0.8750 0.2500 0.6250  4 I 3.35
K 0.0000 0.0000 0.5000  6 I 3.50
Pb 0.3750 0.6250 0.2500  4 I 3.31
K 0.5000 0.0000 0.5000  6 I 3.50
K 0.6250 0.8750 0.2500  4 I 3.35
I 0.6732 0.4356 0.5614  1 Pb 3.31, 2 K 3.35-3.50
I 0.0614 0.8882 0.1258  1 Pb 3.31, 2 K 3.35-3.50
K 0.5000 0.5000 0.0000  6 I 3.50
I 0.0614 0.1732 0.4356  1 Pb 3.31, 2 K 3.35-3.50
I 0.4356 0.7624 0.8742  1 Pb 3.31, 2 K 3.35-3.50
I 0.1258 0.7376 0.5644  1 Pb 3.31, 2 K 3.35-3.50
Pb 0.7500 0.8750 0.6250  4 I 3.31
I 0.9386 0.1118 0.8742  1 Pb 3.31, 2 K 3.35-3.50
I 0.2624 0.8742 0.9356  1 Pb 3.31, 2 K 3.35-3.50
I 0.5614 0.6258 0.3882  1 Pb 3.31, 2 K 3.35-3.50
I 0.2376 0.6732 0.1118  1 Pb 3.31, 2 K 3.35-3.50
Pb 0.2500 0.1250 0.3750  4 I 3.31
I 0.8882 0.0614 0.6258  1 Pb 3.31, 2 K 3.35-3.50
K 0.1250 0.3750 0.2500  4 I 3.35
I 0.6118 0.7376 0.6732  1 Pb 3.31, 2 K 3.35-3.50
K 0.6250 0.7500 0.8750  4 I 3.35
I 0.3742 0.4386 0.1118  1 Pb 3.31, 2 K 3.35-3.50
K 0.3750 0.2500 0.1250  4 I 3.35
I 0.4356 0.6732 0.0614  1 Pb 3.31, 2 K 3.35-3.50
Pb 0.6250 0.2500 0.3750  4 I 3.31
I 0.1118 0.9386 0.3742  1 Pb 3.31, 2 K 3.35-3.50
I 0.8882 0.8268 0.7624  1 Pb 3.31, 2 K 3.35-3.50
I 0.7376 0.6118 0.1732  1 Pb 3.31, 2 K 3.35-3.50
I 0.6732 0.2376 0.6118  1 Pb 3.31, 2 K 3.35-3.50
K 0.7500 0.6250 0.3750  4 I 3.35
K 0.5000 0.5000 0.5000  6 I 3.50
I 0.5614 0.9356 0.6732  1 Pb 3.31, 2 K 3.35-3.50
I 0.6118 0.8742 0.4386  1 Pb 3.31, 2 K 3.35-3.50
I 0.6258 0.5614 0.8882  1 Pb 3.31, 2 K 3.35-3.50
Pb 0.1250 0.8750 0.7500  4 I 3.31
K 0.0000 0.5000 0.0000  6 I 3.50
I 0.8742 0.6118 0.9386  1 Pb 3.31, 2 K 3.35-3.50
Pb 0.8750 0.7500 0.1250  4 I 3.31
K 0.2500 0.3750 0.6250  4 I 3.35
Pb 0.1250 0.2500 0.8750  4 I 3.31
K 0.5000 0.0000 0.0000  6 I 3.50
I 0.8268 0.8882 0.2624  1 Pb 3.31, 2 K 3.35-3.50
I 0.3882 0.1258 0.5614  1 Pb 3.31, 2 K 3.35-3.50
Pb 0.7500 0.3750 0.1250  4 I 3.31
I 0.9356 0.5614 0.1732  1 Pb 3.31, 2 K 3.35-3.50
I 0.1118 0.1732 0.2376  1 Pb 3.31, 2 K 3.35-3.50
Pb 0.3750 0.7500 0.6250  4 I 3.31
K 0.2500 0.8750 0.1250  4 I 3.35
I 0.8268 0.9386 0.0644  1 Pb 3.31, 2 K 3.35-3.50
I 0.3268 0.7624 0.3882  1 Pb 3.31, 2 K 3.35-3.50
I 0.9356 0.3742 0.2624  1 Pb 3.31, 2 K 3.35-3.50
I 0.9386 0.8268 0.5644  1 Pb 3.31, 2 K 3.35-3.50
Pb 0.2500 0.6250 0.8750  4 I 3.31
I 0.1258 0.3882 0.0614  1 Pb 3.31, 2 K 3.35-3.50
I 0.1732 0.1118 0.7376  1 Pb 3.31, 2 K 3.35-3.50
Pb 0.8750 0.1250 0.2500  4 I 3.31
I 0.5644 0.3268 0.9386  1 Pb 3.31, 2 K 3.35-3.50